Entry 1:
First-principles (PBE) data for a relaxed PmTeCl2 crystal, as listed in the Alexandria database.

- Magnetic moment: 0.00 μB/cell
- DOS(E_F): 2.74 states/eV/f.u.

Cell lengths 4.452, 11.946, 8.316 Å; angles 90.00, 90.00, 90.00 degrees
Space group Cmcm (No. 63)
Symmetry-distinct sites (fractional):
Pm 0.000 0.243 0.250 x4
Te 0.000 0.044 0.750 x4
Cl 0.000 0.339 0.561 x8



Entry 2:
First-principles (PBE) data for a relaxed Pm2TeCl crystal, as listed in the Alexandria database.

- Offset from the most stable computed form: 0 meV/atom
- Magnetic moment: 0.00 μB/cell
- DOS(E_F): 3.99 states/eV/f.u.

Cell lengths 7.462, 7.462, 7.462 Å; angles 90.00, 90.00, 90.00 degrees
Space group Fm-3m (No. 225)
Symmetry-distinct sites (fractional):
Pm 0.250 0.250 0.250 x8
Te 0.000 0.000 0.000 x4
Cl 0.000 0.000 0.500 x4



Entry 3:
First-principles (PBE) data for a relaxed PmTeCl crystal, as listed in the Alexandria database.

- Offset from the most stable computed form: 131 meV/atom
- Magnetic moment: 0.00 μB/cell
- DOS(E_F): 0.00 states/eV/f.u.

Cell lengths 7.273, 7.273, 7.273 Å; angles 90.00, 90.00, 90.00 degrees
Space group F-43m (No. 216)
Symmetry-distinct sites (fractional):
Pm 0.000 0.000 0.000 x4
Te 0.250 0.250 0.750 x4
Cl 0.250 0.250 0.250 x4



Entry 4:
First-principles (PBE) data for a relaxed Pm2TeCl crystal, as listed in the Alexandria database.

- Offset from the most stable computed form: 18 meV/atom
- Magnetic moment: 0.01 μB/cell
- DOS(E_F): 4.44 states/eV/f.u.

Cell lengths 3.9866, 3.9866, 24.4012 Å; angles 90.00, 90.00, 120.00 degrees
Space group R3m (No. 160, hexagonal axes)
Symmetry-distinct sites (fractional):
Pm 0.0000 0.0000 0.0000 x3
Pm 0.0000 0.0000 0.1628 x3
Te 0.0000 0.0000 0.5810 x3
Cl 0.0000 0.0000 0.4152 x3



Entry 5:
First-principles (PBE) data for a relaxed Pm4Te5Cl2 crystal, as listed in the Alexandria database.

- Magnetic moment: 0.00 μB/cell

Cell lengths 19.401, 4.567, 8.934 Å; angles 90.00, 105.63, 90.00 degrees
Space group C2/m (No. 12)
Symmetry-distinct sites (fractional):
Pm 0.010 0.000 0.271 x4
Pm 0.213 0.500 0.219 x4
Te 0.000 0.500 0.500 x2
Te 0.155 0.000 0.941 x4
Te 0.173 0.000 0.432 x4
Cl 0.058 0.500 0.150 x4



Entry 6:
First-principles (PBE) data for a relaxed Pm2TeCl crystal, as listed in the Alexandria database.

- Offset from the most stable computed form: 147 meV/atom
- Magnetic moment: 0.00 μB/cell
- DOS(E_F): 4.62 states/eV/f.u.

Cell lengths 4.7475, 4.7475, 24.5880 Å; angles 90.00, 90.00, 120.00 degrees
Space group R-3m (No. 166, hexagonal axes)
Symmetry-distinct sites (fractional):
Pm 0.0000 0.0000 0.1113 x6
Te 0.0000 0.0000 0.5000 x3
Cl 0.0000 0.0000 0.0000 x3



Quick rundown of raw formation energy, same order as above: -1.535 -1.286 -1.663 -1.269 -1.472 -1.140 eV/atom